[1]
First-principles (PBE-GGA) data for a relaxed Dy2GaAu crystal, as listed in the Open Quantum Materials Database.

Cell lengths 3.194, 6.619, 6.619 Å; angles 51.66, 90.00, 90.00 degrees
Site moments in Bohr magnetons follow the coordinates.
Fractional coordinates of all 4 atoms:
Au  0.000  0.108  0.108  0.01
Dy  0.000  0.646  0.646  0.04
Ga  0.000  0.895  0.895  0.01
Dy  0.000  0.351  0.351  0.15

Energy (eV/cell): -15.3
SG: No. 38

***

[2]
First-principles (PBE-GGA) data for a relaxed ZnBi2Ir crystal, as listed in the Open Quantum Materials Database.

Cell lengths 5.005, 5.005, 5.005 Å; angles 60.00, 60.00, 60.00 degrees
Fractional coordinates of all 4 atoms:
Zn  0.500  0.500  0.500
Bi  0.250  0.250  0.250
Ir  0.750  0.750  0.750
Bi  0.000  0.000  0.000

Energy (eV/cell): -16.1
SG: No. 216

***

[3]
First-principles (PBE-GGA) data for a relaxed TbAg2P2 crystal, as listed in the Open Quantum Materials Database.

Cell lengths 4.174, 4.174, 6.666 Å; angles 90.00, 90.00, 120.00 degrees
Fractional coordinates of all 5 atoms:
Ag  0.667  0.333  0.359
P  0.667  0.333  0.765
P  0.333  0.667  0.235
Tb  0.000  0.000  0.000
Ag  0.333  0.667  0.641

Energy (eV/cell): -23.8
SG: No. 164

***

[4]
First-principles (PBE-GGA) data for a relaxed TbDyGe2Pd crystal, as listed in the Open Quantum Materials Database.

Cell lengths 5.719, 5.719, 10.344 Å; angles 115.25, 115.25, 44.73 degrees
Site moments in Bohr magnetons follow the coordinates.
Fractional coordinates of all 10 atoms:
Dy  0.186  0.186  0.609  0.10
Pd  0.277  0.277  0.154  0.01
Ge  0.639  0.639  0.065  0.00
Tb  0.010  0.010  0.829  0.04
Tb  0.990  0.990  0.171  0.04
Ge  0.526  0.526  0.386  0.00
Pd  0.723  0.723  0.846  0.01
Dy  0.814  0.814  0.391  0.10
Ge  0.474  0.474  0.614  0.00
Ge  0.361  0.361  0.935  0.00

Energy (eV/cell): -56.6
SG: No. 12

***

[5]
First-principles (PBE-GGA) data for a relaxed Rb3Tl3Pt2 crystal, as listed in the Open Quantum Materials Database.

Cell lengths 6.955, 6.955, 16.975 Å; angles 90.00, 90.00, 138.85 degrees
Fractional coordinates of all 16 atoms:
Pt  0.722  0.278  0.893
Rb  0.116  0.884  0.750
Rb  0.563  0.437  0.394
Tl  0.160  0.840  0.537
Pt  0.722  0.278  0.607
Rb  0.437  0.563  0.894
Rb  0.437  0.563  0.606
Tl  0.840  0.160  0.463
Pt  0.278  0.722  0.393
Tl  0.820  0.180  0.750
Rb  0.563  0.437  0.106
Tl  0.180  0.820  0.250
Tl  0.160  0.840  0.963
Rb  0.884  0.116  0.250
Pt  0.278  0.722  0.107
Tl  0.840  0.160  0.037

Energy (eV/cell): -46.6
SG: No. 63

***

[6]
First-principles (PBE-GGA) data for a relaxed Er2Tm3ZrTe2Os crystal, as listed in the Open Quantum Materials Database.

Cell lengths 3.917, 8.066, 8.066 Å; angles 117.40, 90.00, 90.00 degrees
Fractional coordinates of all 9 atoms:
Os  0.500  0.016  0.016
Te  0.000  0.664  0.342
Tm  0.000  0.243  0.243
Te  0.000  0.342  0.664
Er  0.500  0.389  0.001
Tm  0.000  0.755  0.991
Zr  0.500  0.600  0.600
Tm  0.000  0.991  0.755
Er  0.500  0.001  0.389

Energy (eV/cell): -54.5
SG: No. 38

***

[7]
First-principles (PBE-GGA) data for a relaxed PmSnPd crystal, as listed in the Open Quantum Materials Database.

Cell lengths 4.774, 4.774, 4.774 Å; angles 60.00, 60.00, 60.00 degrees
Fractional coordinates of all 3 atoms:
Sn  0.750  0.750  0.750
Pm  0.250  0.250  0.250
Pd  0.000  0.000  0.000

Relative energy among the computed polymorphs (meV per atom): 66
Energy (eV/cell): -16.4
SG: No. 216

***

[8]
First-principles (PBE-GGA) data for a relaxed NdYIn2Ni4 crystal, as listed in the Open Quantum Materials Database.

Cell lengths 4.430, 4.430, 8.705 Å; angles 90.00, 90.00, 120.00 degrees
Fractional coordinates of all 8 atoms:
In  0.667  0.333  0.258
Ni  0.333  0.667  0.336
Ni  0.000  0.000  0.821
Ni  0.333  0.667  0.664
Y  0.000  0.000  0.500
Ni  0.000  0.000  0.179
Nd  0.333  0.667  0.000
In  0.667  0.333  0.742

Energy (eV/cell): -42.0
SG: No. 187

***

[9]
First-principles (PBE-GGA) data for a relaxed CoSiSn2 crystal, as listed in the Open Quantum Materials Database.

Cell lengths 4.755, 4.755, 4.755 Å; angles 60.00, 60.00, 60.00 degrees
Fractional coordinates of all 4 atoms:
Sn  0.750  0.750  0.750
Co  0.250  0.250  0.250
Sn  0.000  0.000  0.000
Si  0.500  0.500  0.500

Energy (eV/cell): -18.2
SG: No. 216

***

[10]
First-principles (PBE-GGA) data for a relaxed BaSrScAu crystal, as listed in the Open Quantum Materials Database.

Cell lengths 5.690, 5.690, 5.690 Å; angles 60.00, 60.00, 60.00 degrees
Fractional coordinates of all 4 atoms:
Au  0.750  0.750  0.750
Sr  0.500  0.500  0.500
Ba  0.000  0.000  0.000
Sc  0.250  0.250  0.250

Relative energy among the computed polymorphs (meV per atom): 17
Energy (eV/cell): -12.8
SG: No. 216

***

[11]
First-principles (PBE-GGA) data for a relaxed U2Ga2Fe3 crystal, as listed in the Open Quantum Materials Database.

Cell lengths 6.137, 6.137, 4.741 Å; angles 95.53, 95.53, 40.80 degrees
Site moments in Bohr magnetons follow the coordinates.
Fractional coordinates of all 7 atoms:
Fe  0.795  0.795  0.694  -0.04
Fe  0.205  0.205  0.306  -0.04
Fe  0.000  0.000  0.500  -0.03
Ga  0.593  0.593  0.357  0.00
U  0.852  0.852  0.137  0.08
U  0.148  0.148  0.863  0.08
Ga  0.407  0.407  0.643  0.00

Energy (eV/cell): -55.5
SG: No. 12

***

[12]
First-principles (PBE-GGA) data for a relaxed Tm2Pb crystal, as listed in the Open Quantum Materials Database.

Cell lengths 6.296, 6.296, 6.296 Å; angles 60.00, 60.00, 60.00 degrees
Fractional coordinates of all 6 atoms:
Pb  0.000  0.000  0.000
Pb  0.250  0.250  0.250
Tm  0.625  0.125  0.625
Tm  0.125  0.625  0.625
Tm  0.625  0.625  0.125
Tm  0.625  0.625  0.625

Energy (eV/cell): -24.7
SG: No. 227